# TeMo2Ir

TeMo2Ir after structural relaxation (GGA-PBEsol, Alexandria via LeMat-Bulk).

Values from the calculation:
Uncorrected energy in eV per atom: -8.80
Formation energy from raw total energies in meV/atom: 425
Distance to the lowest polymorph of the same formula in meV/atom: 148
DOS at the Fermi energy in states/eV/f.u.: 3.31

abc: 3.026 3.026 25.613
angles: 90.00 90.00 120.00
Sites, in units of the cell vectors:
Te 0.000 0.000 0.000
Te 0.333 0.667 0.667
Te 0.667 0.333 0.333
Mo 0.000 0.000 0.248
Mo 0.000 0.000 0.503
Mo 0.333 0.667 0.170
Mo 0.333 0.667 0.915
Mo 0.667 0.333 0.582
Mo 0.667 0.333 0.836
Ir 0.000 0.000 0.758
Ir 0.333 0.667 0.425
Ir 0.667 0.333 0.092